Material: ScTeP2
Method: DFT, GGA-PBE
State: relaxed

Cell: 5.7739 5.7739 5.7739 Å, 140.09 140.09 57.72°
Closest atoms and distances in Å follow each position.
Positions (direct):
P  0.0000  0.0000  0.0000  4 Sc 2.79
P  0.2500  0.7500  0.5000  4 Te 2.79
Sc  0.5000  0.5000  0.0000  4 P 2.79
Te  0.7500  0.2500  0.5000  4 P 2.79

energy	-5.261	eV/atom

Material: Sc4TeP
Method: DFT, GGA-PBE
State: relaxed

Cell: 5.7247 5.7247 5.7247 Å, 60.00 60.00 60.00°
Closest atoms and distances in Å follow each position.
Positions (direct):
Sc  0.8763  0.3746  0.3746  6 Sc 2.85-2.87
Sc  0.3746  0.3746  0.8763  6 Sc 2.85-2.87
Sc  0.3746  0.8763  0.3746  6 Sc 2.85-2.87
Sc  0.3746  0.3746  0.3746  6 Sc 2.85-2.87
Te  0.7500  0.7500  0.7500  12 Sc 3.36, 4 P 3.51
P  0.0000  0.0000  0.0000  12 Sc 3.36, 4 Te 3.51

energy above the lowest structure with this stoichiometry	828	meV/atom
energy	-5.626	eV/atom

Material: ScTeP4
Method: DFT, GGA-PBE
State: relaxed

Cell: 5.3638 5.3638 5.3638 Å, 60.00 60.00 60.00°
Closest atoms and distances in Å follow each position.
Positions (direct):
Sc  0.7500  0.7500  0.7500  12 P 3.12, 4 Te 3.28
Te  0.0000  0.0000  0.0000  12 P 3.17, 4 Sc 3.28
P  0.8405  0.3865  0.3865  3 P 2.44
P  0.3865  0.3865  0.8405  3 P 2.44
P  0.3865  0.8405  0.3865  3 P 2.44
P  0.3865  0.3865  0.3865  3 P 2.44

energy	-4.994	eV/atom

Material: Sc2TeP2
Method: DFT, GGA-PBE
State: relaxed

Cell: 3.7134 3.7134 7.6292 Å, 75.91 75.91 90.00°
Closest atoms and distances in Å follow each position.
Positions (direct):
Sc  0.3828  0.3828  0.2344  4 P 2.66
Sc  0.6172  0.6172  0.7656  4 P 2.66
P  0.7500  0.2500  0.5000  4 P 2.63, 4 Sc 2.66
P  0.2500  0.7500  0.5000  4 P 2.63, 4 Sc 2.66
Te  0.0000  0.0000  0.0000  8 Sc 3.12

energy above the lowest structure with this stoichiometry	0	meV/atom
energy	-6.319	eV/atom

Material: ScTeP2
Method: DFT, GGA-PBE
State: relaxed

Cell: 6.7418 6.7418 6.7418 Å, 33.78 33.78 33.78°
Closest atoms and distances in Å follow each position.
Positions (direct):
P  0.9948  0.9948  0.9948  3 Sc 2.71, 3 Te 2.82
P  0.5052  0.5052  0.5052  3 Sc 2.71, 3 Te 2.82
Sc  0.2500  0.2500  0.2500  6 P 2.71
Te  0.7500  0.7500  0.7500  6 P 2.82

energy	-5.309	eV/atom

Material: ScTeP
Method: DFT, GGA-PBE
State: relaxed

Cell: 11.6477 3.4978 3.8024 Å, 90.00 90.00 90.00°
Closest atoms and distances in Å follow each position.
Positions (direct):
Sc  0.8229  0.0000  0.3870  4 P 2.73-2.83, 4 Te 2.97-2.98
Sc  0.1771  0.0000  0.3870  4 P 2.73-2.83, 4 Te 2.97-2.98
Te  0.6955  0.5000  0.8889  4 Sc 2.97-2.98
Te  0.3045  0.5000  0.8889  4 Sc 2.97-2.98
P  0.0000  0.5000  0.2933  2 P 2.36
P  0.0000  0.0000  0.8768  2 P 2.36

energy	-5.899	eV/atom

Material: ScTeP
Method: DFT, GGA-PBE
State: relaxed

Cell: 4.4569 4.4569 4.0219 Å, 90.00 90.00 120.00°
Closest atoms and distances in Å follow each position.
Positions (direct):
Sc  0.6667  0.3333  0.0000  3 P 2.57
Te  0.3333  0.6667  0.5000  6 Sc 3.27, 6 P 3.27
P  0.0000  0.0000  0.0000  3 Sc 2.57

energy	-5.464	eV/atom

Material: ScTeP2
Method: DFT, GGA-PBE
State: relaxed

Cell: 5.2169 5.2169 5.2169 Å, 137.68 124.17 72.48°
Closest atoms and distances in Å follow each position.
Positions (direct):
P  0.9751  0.9751  0.0000  2 Te 2.67, 2 Sc 2.98
P  0.5249  0.5249  0.0000  2 Te 2.67, 2 Sc 2.98
Sc  0.2500  0.7500  0.5000  8 P 2.98-3.09, 4 Te 3.08
Te  0.7500  0.2500  0.5000  4 P 2.67

energy	-5.202	eV/atom

Material: ScTe2P
Method: DFT, GGA-PBE
State: relaxed

Cell: 8.3752 8.3752 4.3149 Å, 90.38 90.38 21.69°
Closest atoms and distances in Å follow each position.
Positions (direct):
Sc  0.0000  0.0000  0.5000  4 P 2.67
Te  0.3477  0.3477  0.7107  1 P 2.79, 2 Sc 3.10
Te  0.6523  0.6523  0.2893  1 P 2.79, 2 Sc 3.10
P  0.5000  0.5000  0.0000  4 Sc 2.67, 2 Te 2.79

energy	-4.994	eV/atom

Material: ScTeP2
Method: DFT, GGA-PBE
State: relaxed

Cell: 5.5522 5.5522 5.5522 Å, 137.23 137.23 62.08°
Closest atoms and distances in Å follow each position.
Positions (direct):
P  0.0000  0.0000  0.0000  4 P 2.86, 4 Te 3.12, 4 Sc 3.12
P  0.5000  0.5000  0.0000  4 P 2.86, 4 Sc 3.12, 4 Te 3.12
Sc  0.2500  0.7500  0.5000  4 Te 2.86, 8 P 3.12
Te  0.7500  0.2500  0.5000  4 Sc 2.86, 8 P 3.12

energy	-5.166	eV/atom

Material: Sc2Te2P
Method: DFT, GGA-PBE
State: relaxed

Cell: 5.9125 5.9125 5.9125 Å, 125.13 125.13 81.32°
Closest atoms and distances in Å follow each position.
Positions (direct):
Sc  0.2500  0.7500  0.5000  4 Te 2.81
Sc  0.7500  0.2500  0.5000  4 Te 2.81
Te  0.6710  0.6710  0.0000  4 Sc 2.81, 1 P 2.95, 1 Te 3.07
Te  0.3290  0.3290  0.0000  4 Sc 2.81, 1 P 2.95, 1 Te 3.07
P  0.0000  0.0000  0.0000  2 Te 2.95

energy	-5.345	eV/atom

Material: ScTeP2
Method: DFT, GGA-PBE
State: relaxed

Cell: 4.8426 4.8426 4.8426 Å, 60.00 60.00 60.00°
Closest atoms and distances in Å follow each position.
Positions (direct):
P  0.0000  0.0000  0.0000  4 P 2.97, 4 Te 2.97
P  0.2500  0.2500  0.2500  4 Sc 2.97, 4 P 2.97
Sc  0.5000  0.5000  0.5000  4 Te 2.97, 4 P 2.97
Te  0.7500  0.7500  0.7500  4 P 2.97, 4 Sc 2.97

energy	-4.935	eV/atom

Material: ScTeP
Method: DFT, GGA-PBE
State: relaxed

Cell: 4.6388 4.6388 4.6388 Å, 60.00 60.00 60.00°
Closest atoms and distances in Å follow each position.
Positions (direct):
Sc  0.0000  0.0000  0.0000  4 P 2.84
Te  0.5000  0.5000  0.5000  4 P 2.84
P  0.7500  0.7500  0.7500  4 Te 2.84, 4 Sc 2.84

energy	-5.210	eV/atom

Material: ScTe2P
Method: DFT, GGA-PBE
State: relaxed

Cell: 4.0030 4.0452 6.0918 Å, 90.00 90.00 90.00°
Closest atoms and distances in Å follow each position.
Positions (direct):
Sc  0.5000  0.0000  0.5000  4 Te 2.85
Te  0.0000  0.0000  0.0000  4 P 2.85
Te  0.0000  0.5000  0.5000  4 Sc 2.85
P  0.5000  0.5000  0.0000  4 Te 2.85

energy	-4.714	eV/atom

Material: ScTe2P
Method: DFT, GGA-PBE
State: relaxed

Cell: 9.0070 9.0070 9.0070 Å, 24.35 24.35 24.35°
Closest atoms and distances in Å follow each position.
Positions (direct):
Sc  0.2410  0.2410  0.2410  3 P 2.79, 3 Te 2.82
Te  0.9755  0.9755  0.9755  3 Sc 2.82
Te  0.7751  0.7751  0.7751  3 P 2.80
P  0.5084  0.5084  0.5084  3 Sc 2.79, 3 Te 2.80

energy	-4.771	eV/atom

Material: ScTeP2
Method: DFT, GGA-PBE
State: relaxed

Cell: 4.9627 4.9627 5.4791 Å, 91.24 91.24 40.54°
Closest atoms and distances in Å follow each position.
Positions (direct):
P  0.9646  0.9646  0.1183  2 P 2.33
P  0.5354  0.5354  0.3817  2 P 2.33
Sc  0.2500  0.2500  0.2500  6 P 2.74-2.75
Te  0.7500  0.7500  0.7500  2 P 2.81

energy	-5.488	eV/atom

Material: ScTeP2
Method: DFT, GGA-PBE
State: relaxed

Cell: 4.8559 4.8507 4.8434 Å, 69.79 72.10 110.31°
Closest atoms and distances in Å follow each position.
Positions (direct):
P  0.0000  0.0000  0.0000  2 Te 2.77, 2 Sc 2.77, 2 P 2.85
P  0.5000  0.0000  0.5000  2 Sc 2.77, 2 Te 2.77, 2 P 2.85
Sc  0.0000  0.5000  0.5000  4 P 2.77, 2 Te 2.85
Te  0.5000  0.5000  0.0000  4 P 2.77, 2 Sc 2.85

energy	-5.399	eV/atom

Material: ScTe2P
Method: DFT, GGA-PBE
State: relaxed

Cell: 6.1307 6.1307 6.1307 Å, 140.22 140.22 57.51°
Closest atoms and distances in Å follow each position.
Positions (direct):
Sc  0.7500  0.2500  0.5000  4 Te 2.95
Te  0.0000  0.0000  0.0000  4 P 2.95
Te  0.2500  0.7500  0.5000  4 Sc 2.95
P  0.5000  0.5000  0.0000  4 Te 2.95

energy	-4.705	eV/atom

Material: Sc3Te2P
Method: DFT, GGA-PBE
State: relaxed

Cell: 6.8976 6.9947 6.9947 Å, 118.70 100.02 100.02°
Closest atoms and distances in Å follow each position.
Positions (direct):
Sc  0.0075  0.2336  0.3715  2 P 2.63, 2 Te 2.89-2.93
Sc  0.5075  0.3715  0.2336  2 P 2.63, 2 Te 2.89-2.93
Sc  0.0000  0.5000  0.0000  2 P 2.77, 4 Te 2.88
Sc  0.9925  0.7664  0.6285  2 P 2.63, 2 Te 2.89-2.93
Sc  0.5000  0.0000  0.5000  2 P 2.77, 4 Te 2.88
Sc  0.4925  0.6285  0.7664  2 P 2.63, 2 Te 2.89-2.93
Te  0.2500  0.9215  0.0785  6 Sc 2.88-3.15
Te  0.2500  0.2377  0.7623  6 Sc 2.88-3.05
Te  0.7500  0.0785  0.9215  6 Sc 2.88-3.15
Te  0.7500  0.7623  0.2377  6 Sc 2.88-3.05
P  0.2500  0.5918  0.4082  6 Sc 2.63-2.77
P  0.7500  0.4082  0.5918  6 Sc 2.63-2.77

energy above the lowest structure with this stoichiometry	35	meV/atom
energy	-6.389	eV/atom

Material: Sc2TeP2
Method: DFT, GGA-PBE
State: relaxed

Cell: 7.5620 7.5620 3.6314 Å, 90.00 90.00 90.00°
Closest atoms and distances in Å follow each position.
Positions (direct):
Sc  0.3400  0.8400  0.0000  4 P 2.74, 2 Te 2.84
Sc  0.8400  0.6600  0.0000  4 P 2.74, 2 Te 2.84
Sc  0.6600  0.1600  0.0000  4 P 2.74, 2 Te 2.84
Sc  0.1600  0.3400  0.0000  4 P 2.74, 2 Te 2.84
P  0.1052  0.6052  0.5000  1 P 2.25
P  0.6052  0.8948  0.5000  1 P 2.25
P  0.8948  0.3948  0.5000  1 P 2.25
P  0.3948  0.1052  0.5000  1 P 2.25
Te  0.0000  0.0000  0.0000  4 Sc 2.84
Te  0.5000  0.5000  0.0000  4 Sc 2.84

energy above the lowest structure with this stoichiometry	124	meV/atom
energy	-6.195	eV/atom

Material: Sc3TeP2
Method: DFT, GGA-PBE
State: relaxed

Cell: 3.8614 3.8614 19.2732 Å, 90.00 90.00 120.00°
Closest atoms and distances in Å follow each position.
Positions (direct):
Sc  0.0000  0.0000  0.0000  6 P 2.69
Sc  0.3333  0.6667  0.1476  3 P 2.60
Sc  0.3333  0.6667  0.3524  3 P 2.60
Sc  0.0000  0.0000  0.5000  6 P 2.69
Sc  0.6667  0.3333  0.6476  3 P 2.60
Sc  0.6667  0.3333  0.8524  3 P 2.60
Te  0.0000  0.0000  0.2500  6 Sc 2.98
Te  0.0000  0.0000  0.7500  6 Sc 2.98
P  0.3333  0.6667  0.9220  6 Sc 2.60-2.69
P  0.6667  0.3333  0.0780  6 Sc 2.60-2.69
P  0.6667  0.3333  0.4220  6 Sc 2.60-2.69
P  0.3333  0.6667  0.5780  6 Sc 2.60-2.69

energy	-6.958	eV/atom

Material: ScTeP
Method: DFT, GGA-PBE
State: relaxed

Cell: 3.9946 3.9946 11.1346 Å, 79.67 79.67 60.00°
Closest atoms and distances in Å follow each position.
Positions (direct):
Sc  0.5570  0.5570  0.3291  6 P 2.86-3.07, 3 Te 2.89
Sc  0.4430  0.4430  0.6709  6 P 2.86-3.07, 3 Te 2.89
Te  0.2768  0.2768  0.1696  3 Sc 2.89
Te  0.7232  0.7232  0.8304  3 Sc 2.89
P  0.8385  0.8385  0.4846  3 P 2.33
P  0.1615  0.1615  0.5154  3 P 2.33

energy	-5.688	eV/atom

Material: ScTe2P
Method: DFT, GGA-PBE
State: relaxed

Cell: 3.7487 4.0645 6.3683 Å, 79.70 90.00 90.00°
Closest atoms and distances in Å follow each position.
Positions (direct):
Sc  0.5000  0.5000  0.0000  8 Te 3.05-3.32, 2 P 3.18
Te  0.0000  0.8765  0.2509  2 P 2.74, 2 Sc 3.05
Te  0.0000  0.1235  0.7491  2 P 2.74, 2 Sc 3.05
P  0.5000  0.5000  0.5000  4 Te 2.74

energy	-4.844	eV/atom

Material: ScTe2P
Method: DFT, GGA-PBE
State: relaxed

Cell: 3.5739 3.5739 8.2299 Å, 90.00 90.00 90.00°
Closest atoms and distances in Å follow each position.
Positions (direct):
Sc  0.5000  0.5000  0.6755  4 P 2.60
Te  0.0000  0.0000  0.9135  1 P 2.58
Te  0.5000  0.5000  0.3109  1 Sc 3.00
P  0.0000  0.0000  0.6000  1 Te 2.58, 4 Sc 2.60

energy	-5.073	eV/atom

Material: ScTeP2
Method: DFT, GGA-PBE
State: relaxed

Cell: 5.7047 5.7047 7.9475 Å, 68.97 68.97 90.00°
Closest atoms and distances in Å follow each position.
Positions (direct):
Sc  0.5000  0.5000  0.0000  4 P 2.59
Sc  0.2500  0.7500  0.5000  4 P 2.59
P  0.6075  0.1250  0.2500  2 Sc 2.59, 2 Te 2.70
P  0.1425  0.6250  0.2500  2 Sc 2.59, 2 Te 2.70
P  0.3750  0.3925  0.7500  2 Sc 2.59, 2 Te 2.70
P  0.8750  0.8575  0.7500  2 Sc 2.59, 2 Te 2.70
Te  0.0000  0.0000  0.0000  4 P 2.70
Te  0.7500  0.2500  0.5000  4 P 2.70

energy	-5.125	eV/atom

Material: Sc3TeP
Method: DFT, GGA-PBE
State: relaxed

Cell: 4.9136 4.9136 4.9136 Å, 90.00 90.00 90.00°
Closest atoms and distances in Å follow each position.
Positions (direct):
Sc  0.0000  0.5000  0.0000  2 P 2.46
Sc  0.0000  0.0000  0.5000  2 P 2.46
Sc  0.5000  0.0000  0.0000  2 P 2.46
P  0.0000  0.0000  0.0000  6 Sc 2.46
Te  0.5000  0.5000  0.5000  12 Sc 3.47

energy above the lowest structure with this stoichiometry	392	meV/atom
energy	-6.218	eV/atom

Material: Sc5Te5P
Method: DFT, GGA-PBE
State: relaxed

Cell: 5.7842 7.0453 8.1307 Å, 107.12 90.00 114.24°
Closest atoms and distances in Å follow each position.
Positions (direct):
Sc  0.8459  0.6918  0.1520  1 P 2.65, 4 Te 2.88-2.95
Sc  0.8501  0.7002  0.6941  1 P 2.61, 4 Te 2.86-2.91
Sc  0.5000  0.0000  0.0000  2 P 2.89, 4 Te 2.91
Sc  0.1499  0.2998  0.3059  1 P 2.61, 4 Te 2.86-2.91
Sc  0.1541  0.3082  0.8480  1 P 2.65, 4 Te 2.88-2.95
Te  0.6735  0.3469  0.3358  5 Sc 2.91-3.06
Te  0.6627  0.3255  0.8213  5 Sc 2.90-2.95
Te  0.0000  0.0000  0.5000  4 Sc 2.86-2.88
Te  0.3372  0.6745  0.1787  5 Sc 2.90-2.95
Te  0.3265  0.6531  0.6642  5 Sc 2.91-3.06
P  0.0000  0.0000  0.0000  6 Sc 2.61-2.89

energy	-6.054	eV/atom

Material: ScTeP
Method: DFT, GGA-PBE
State: relaxed

Cell: 3.5231 3.7525 10.7003 Å, 89.50 89.67 89.48°
Closest atoms and distances in Å follow each position.
Positions (direct):
Sc  0.2512  0.2556  0.1924  4 P 2.71-2.78, 4 Te 2.96-2.99
Sc  0.7488  0.7444  0.8076  4 P 2.71-2.78, 4 Te 2.96-2.99
Te  0.7501  0.7524  0.3316  4 Sc 2.96-2.99
Te  0.2499  0.2476  0.6684  4 Sc 2.96-2.99
P  0.7605  0.2370  0.9986  4 P 2.44-2.68, 1 Sc 2.71
P  0.2395  0.7630  0.0014  4 P 2.44-2.68, 1 Sc 2.71

energy	-5.928	eV/atom

Formation energy without anion corrections / meV/atom: -188; 21; 192; -994; -236; -938; -503; -129; -488; -92; -474; 138; -249; -207; -265; -414; -325; -199; -1275; -870; -1465; -727; -338; -567; -52; -709; -1256; -967